## ErMnMoO6 (PBE with a Hubbard U)

Data for a relaxed structure of ErMnMoO6.

The structure in CIF format:
```
data_ErMnMoO6
_chemical_formula_sum 'Er1 Mn1 Mo1 O6'
_symmetry_space_group_name_H-M 'P 3 1 2'
_symmetry_Int_Tables_number 149
_symmetry_space_group_name_Hall 'P 3 2'
_cell_length_a 5.3669
_cell_length_b 5.3669
_cell_length_c 4.4411
_cell_angle_alpha 90.00
_cell_angle_beta 90.00
_cell_angle_gamma 120.00
loop_
_atom_site_label
_atom_site_fract_x
_atom_site_fract_y
_atom_site_fract_z
Er1 0.0000 0.0000 0.0000
Mn1 0.6667 0.3333 0.5000
Mo1 0.3333 0.6667 0.0000
O1 0.0213 0.3708 0.2428
```

Results
DOS(E_F) = 3.8 states/eV/cell
E_tot = -0.544 Ry per atom
Crystal system = trigonal